(1)
# BaTa2Pt PBE optimized geometry
# Calculated formation energy, eV/atom: 0.614
# V, Å³/atom: 22.63
# Spin magnetization, μB per formula unit: 0.00
# Energy above the most stable polymorph in this dataset, eV per atom: 0.482
data_BaTa2Pt
_cell_length_a 3.048
_cell_length_b 5.628
_cell_length_c 10.551
_cell_angle_alpha 90.00
_cell_angle_beta 90.00
_cell_angle_gamma 90.00
_symmetry_space_group_name_H-M 'I m m 2'
_symmetry_Int_Tables_number 44
loop_
_symmetry_equiv_pos_as_xyz
'x,y,z'
'-x,-y,z'
'-x,y,z'
'x,-y,z'
'x+1/2,y+1/2,z+1/2'
'-x+1/2,-y+1/2,z+1/2'
'-x+1/2,y+1/2,z+1/2'
'x+1/2,-y+1/2,z+1/2'
loop_
_atom_site_label
_atom_site_type_symbol
_atom_site_fract_x
_atom_site_fract_y
_atom_site_fract_z
_atom_site_occupancy
Ba1 Ba 0.000 0.000 0.000 1
Ta1 Ta 0.000 0.000 0.489 1
Ta2 Ta 0.000 0.500 0.205 1
Pt1 Pt 0.000 0.500 0.778 1

---

(2)
# Ho3AlCu8 PBE optimized geometry
# Calculated formation energy, eV/atom: -0.217
# V, Å³/atom: 16.01
# Spin magnetization, μB per formula unit: 0.00
data_Ho3AlCu8
_cell_length_a 5.1399
_cell_length_b 5.1399
_cell_length_c 25.1908
_cell_angle_alpha 90.00
_cell_angle_beta 90.00
_cell_angle_gamma 120.00
_symmetry_space_group_name_H-M 'R 3 m'
_symmetry_Int_Tables_number 160
_symmetry_space_group_name_Hall 'R 3 -2"'
loop_
_atom_site_label
_atom_site_type_symbol
_atom_site_fract_x
_atom_site_fract_y
_atom_site_fract_z
_atom_site_occupancy
Ho1 Ho 0.0000 0.0000 0.0000 1
Ho2 Ho 0.0000 0.0000 0.1257 1
Ho3 Ho 0.0000 0.0000 0.5114 1
Al1 Al 0.0000 0.0000 0.6361 1
Cu1 Cu 0.0000 0.0000 0.3162 1
Cu2 Cu 0.0000 0.0000 0.8175 1
Cu3 Cu 0.1679 0.3359 0.3986 1
Cu4 Cu 0.1689 0.3378 0.9011 1